# 1
K2Ho2RhO6, optimized geometry, DFT PBE; space group = C2/m, No. 12; raw formation energy = -50.51 kcal/mol of atoms
1.0
2.883 -4.946 0.000
2.883 4.946 0.000
-1.733 0.000 6.344
K Ho Rh O
2 2 1 6
direct
0.160 0.840 0.000
0.840 0.160 0.000
0.335 0.665 0.500
0.665 0.335 0.500
0.000 0.000 0.500
0.049 0.363 0.673
0.252 0.252 0.324
0.363 0.049 0.673
0.637 0.951 0.327
0.748 0.748 0.676
0.951 0.637 0.327

---

# 2
KHoRhO3, optimized geometry, DFT PBE; space group = P2_1/m, No. 11; raw formation energy = -42.35 kcal/mol of atoms
1.0
7.556 0.000 0.000
0.000 3.368 0.000
-1.671 0.000 8.313
K Ho Rh O
2 2 2 6
direct
0.169 0.250 0.191
0.831 0.750 0.809
0.365 0.750 0.849
0.635 0.250 0.151
0.111 0.250 0.584
0.889 0.750 0.416
0.151 0.250 0.832
0.255 0.750 0.571
0.435 0.750 0.119
0.565 0.250 0.881
0.745 0.250 0.429
0.849 0.750 0.168

---

# 3
K4HoRu3O12, optimized geometry, DFT PBE; space group = Im-3m, No. 229; raw formation energy = -32.64 kcal/mol of atoms
1.0
-4.039 4.039 4.039
4.039 -4.039 4.039
4.039 4.039 -4.039
K Ho Ru O
4 1 3 12
direct
0.000 0.000 0.500
0.000 0.500 0.000
0.500 0.000 0.000
0.500 0.500 0.500
0.000 0.000 0.000
0.000 0.500 0.500
0.500 0.000 0.500
0.500 0.500 0.000
0.000 0.269 0.269
0.000 0.731 0.731
0.250 0.500 0.750
0.250 0.750 0.500
0.269 0.000 0.269
0.269 0.269 0.000
0.500 0.250 0.750
0.500 0.750 0.250
0.731 0.000 0.731
0.731 0.731 0.000
0.750 0.250 0.500
0.750 0.500 0.250

---

# 4
K4Ho3RuO8, optimized geometry, DFT PBE; space group = R-3m, No. 166; raw formation energy = -52.65 kcal/mol of atoms
1.0
3.381 1.952 6.213
-3.381 1.952 6.213
0.000 -3.904 6.213
K Ho Ru O
4 3 1 8
direct
0.000 0.000 0.000
0.000 0.500 0.500
0.500 0.000 0.500
0.500 0.500 0.000
0.000 0.000 0.500
0.000 0.500 0.000
0.500 0.000 0.000
0.500 0.500 0.500
0.229 0.229 0.229
0.239 0.723 0.723
0.277 0.277 0.761
0.277 0.761 0.277
0.723 0.239 0.723
0.723 0.723 0.239
0.761 0.277 0.277
0.771 0.771 0.771

---

What did we get for theoretical density? Answer: 5.57, 5.57, 5.14, 5.94 Mg/m³, in the order shown.